Record 1
A plane-wave DFT calculation with PBE-GGA was carried out for a relaxed structure of Mg2CrCo.

Cell: 2.9711 2.9711 7.3393 Å, 90.00 90.00 90.00°
Last column: magnetic moment on the atom in μB.
Sites, in units of the cell vectors:
Co1 0.0000 0.0000 0.5390  0.75
Cr1 0.5000 0.5000 0.6947  2.07
Mg1 0.0000 0.0000 0.9651  -0.01
Mg2 0.5000 0.5000 0.3012  -0.01

Output
Its space group is No. 99. As for the energy of formation from the pure elements: 18 kJ per mole of atoms. The value obtained for the energy above the most stable polymorph in this dataset is 0 meV per atom. As for the magnetic moment: 2.94 Bohr magnetons per cell.

Record 2
A plane-wave DFT calculation with PBE-GGA was carried out for a relaxed structure of Mg2CrCo.

Cell: 4.8614 4.8614 4.8614 Å, 131.20 131.20 71.49°
Last column: magnetic moment on the atom in μB.
Sites, in units of the cell vectors:
Co1 0.2500 0.7500 0.5000  1.18
Cr1 0.7500 0.2500 0.5000  3.33
Mg1 0.0000 0.0000 0.0000  -0.02
Mg2 0.5000 0.5000 0.0000  -0.02

Output
Its space group is No. 139. As for the energy of formation from the pure elements: 32 kJ per mole of atoms. The value obtained for the energy above the most stable polymorph in this dataset is 143 meV per atom. As for the magnetic moment: 4.67 Bohr magnetons per cell.

Record 3
A plane-wave DFT calculation with PBE-GGA was carried out for a relaxed structure of MgCr2Co.

Cell: 6.7690 6.7690 5.3746 Å, 50.97 50.97 90.00°
Last column: magnetic moment on the atom in μB.
Sites, in units of the cell vectors:
Cr1 0.6790 0.1250 0.2500  0.51
Cr2 0.0710 0.6250 0.2500  0.45
Cr3 0.3750 0.3210 0.7500  0.52
Cr4 0.8750 0.9290 0.7500  0.47
Mg1 0.5000 0.5000 0.0000  -0.01
Mg2 0.2500 0.7500 0.5000  -0.01
Co1 0.0000 0.0000 0.0000  -0.03
Co2 0.7500 0.2500 0.5000  -0.03

Output
Its space group is No. 122. As for the energy of formation from the pure elements: 70 kJ per mole of atoms. As for the magnetic moment: 1.96 Bohr magnetons per cell.

Record 4
A plane-wave DFT calculation with PBE-GGA was carried out for a relaxed structure of MgCr2Co.

Cell: 4.8738 4.8738 4.8738 Å, 144.31 126.95 65.59°
Last column: magnetic moment on the atom in μB.
Sites, in units of the cell vectors:
Co1 0.2350 0.7350 0.5000  0.82
Cr1 0.0010 0.0010 0.0000  -1.95
Cr2 0.7711 0.2711 0.5000  2.10
Mg1 0.4930 0.4930 0.0000  0.00

Output
Its space group is No. 44. As for the energy of formation from the pure elements: 32 kJ per mole of atoms. As for the magnetic moment: 0.95 Bohr magnetons per cell.

Record 5
A plane-wave DFT calculation with PBE-GGA was carried out for a relaxed structure of Mg2CrCo.

Cell: 4.4286 4.4286 4.4286 Å, 120.07 120.07 89.87°
Last column: magnetic moment on the atom in μB.
Sites, in units of the cell vectors:
Co1 0.5000 0.5000 0.0000  -0.80
Cr1 0.7500 0.2500 0.5000  2.86
Mg1 0.0000 0.0000 0.0000  -0.01
Mg2 0.2500 0.7500 0.5000  -0.03

Output
Its space group is No. 216. As for the energy of formation from the pure elements: 36 kJ per mole of atoms. The value obtained for the energy above the most stable polymorph in this dataset is 187 meV per atom. As for the magnetic moment: 2.18 Bohr magnetons per cell.

Record 6
A plane-wave DFT calculation with PBE-GGA was carried out for a relaxed structure of MgCr2Co.

Cell: 2.5450 2.5450 7.9385 Å, 90.00 90.00 90.00°
Sites, in units of the cell vectors:
Co1 0.5000 0.5000 0.7500
Cr1 0.0000 0.0000 0.9667
Cr2 0.0000 0.0000 0.5333
Mg1 0.5000 0.5000 0.2500

Output
Its space group is No. 123. As for the energy of formation from the pure elements: 38 kJ per mole of atoms. As for the magnetic moment: 0.00 Bohr magnetons per cell.

Record 7
A plane-wave DFT calculation with PBE-GGA was carried out for a relaxed structure of Mg2CrCo.

Cell: 7.0262 7.0262 5.5845 Å, 51.02 51.02 90.00°
Last column: magnetic moment on the atom in μB.
Sites, in units of the cell vectors:
Cr1 0.5000 0.5000 0.0000  0.07
Cr2 0.2500 0.7500 0.5000  0.07
Mg1 0.6490 0.1250 0.2500  0.00
Mg2 0.1010 0.6250 0.2500  0.00
Mg3 0.3750 0.3510 0.7500  0.00
Mg4 0.8750 0.8990 0.7500  0.00
Co1 0.0000 0.0000 0.0000  0.45
Co2 0.7500 0.2500 0.5000  0.45

Output
Its space group is No. 122. As for the energy of formation from the pure elements: 88 kJ per mole of atoms. The value obtained for the energy above the most stable polymorph in this dataset is 725 meV per atom. As for the magnetic moment: 0.97 Bohr magnetons per cell.

Record 8
A plane-wave DFT calculation with PBE-GGA was carried out for a relaxed structure of MgCr2Co.

Cell: 2.5440 2.5440 7.9788 Å, 90.00 90.00 95.60°
Sites, in units of the cell vectors:
Co1 0.5000 0.5000 0.7500
Cr1 0.0000 0.0000 0.9669
Cr2 0.0000 0.0000 0.5331
Mg1 0.5000 0.5000 0.2500

Output
Its space group is No. 65. As for the energy of formation from the pure elements: 38 kJ per mole of atoms. As for the magnetic moment: 0.01 Bohr magnetons per cell.